No. 1
## LaTeAsSe2 (PBE)

Data for crystalline LaTeAsSe2 at its relaxed geometry.

Summary:
For the uncorrected formation energy, the calculation gives -0.2892 eV per atom. Its energy relative to the lowest polymorph listed for this composition is 0.00 eV/f.u. The calculation puts the volume at 29.739 A^3/atom. Its space group is P4/mmm (123).

abc: 5.318 5.318 5.257
angles: 90.00 90.00 90.00
Fractional coordinates of all 5 atoms:
La: 0.000 0.000 0.000
Te: 0.500 0.500 0.500
As: 0.500 0.500 0.000
Se: 0.000 0.500 0.500
Se: 0.500 0.000 0.500

***

No. 2
## La6Te2As3Se (PBE)

Data for crystalline La6Te2As3Se at its relaxed geometry.

Summary:
For the uncorrected formation energy, the calculation gives -1.7024 eV per atom. The calculation puts the volume at 30.884 A^3/atom. Its space group is C2/m (12).

abc: 9.957 9.957 8.921
angles: 103.84 103.84 25.61
Fractional coordinates of all 12 atoms:
La: 0.006 0.006 0.247
La: 0.332 0.332 0.432
La: 0.339 0.339 0.902
La: 0.661 0.661 0.098
La: 0.668 0.668 0.568
La: 0.994 0.994 0.753
Te: 0.166 0.166 0.834
Te: 0.834 0.834 0.166
As: 0.168 0.168 0.335
As: 0.500 0.500 0.000
As: 0.832 0.832 0.665
Se: 0.500 0.500 0.500

***

No. 3
## LaTeAsSe2 (PBE)

Data for crystalline LaTeAsSe2 at its relaxed geometry.

Summary:
For the uncorrected formation energy, the calculation gives 0.1925 eV per atom. Its energy relative to the lowest polymorph listed for this composition is 2.41 eV/f.u. The calculation puts the volume at 37.692 A^3/atom. Its space group is P4/mmm (123).

abc: 5.637 5.637 5.931
angles: 90.00 90.00 90.00
Fractional coordinates of all 5 atoms:
La: 0.000 0.000 0.000
Te: 0.500 0.500 0.500
As: 0.000 0.000 0.500
Se: 0.000 0.500 0.000
Se: 0.500 0.000 0.000

***

No. 4
## La6TeAs2Se3 (PBE)

Data for crystalline La6TeAs2Se3 at its relaxed geometry.

Summary:
For the uncorrected formation energy, the calculation gives -1.8207 eV per atom. The calculation puts the volume at 29.742 A^3/atom. Its space group is C2/m (12).

abc: 9.779 9.779 8.784
angles: 102.54 102.54 25.84
Fractional coordinates of all 12 atoms:
La: 0.004 0.004 0.267
La: 0.327 0.327 0.905
La: 0.331 0.331 0.421
La: 0.669 0.669 0.579
La: 0.673 0.673 0.095
La: 0.996 0.996 0.733
Te: 0.500 0.500 0.000
As: 0.167 0.167 0.333
As: 0.833 0.833 0.667
Se: 0.164 0.164 0.833
Se: 0.500 0.500 0.500
Se: 0.836 0.836 0.167

***

No. 5
## La6Te3As2Se (PBE)

Data for crystalline La6Te3As2Se at its relaxed geometry.

Summary:
For the uncorrected formation energy, the calculation gives -1.7036 eV per atom. The calculation puts the volume at 31.560 A^3/atom. Its space group is C2/m (12).

abc: 10.045 10.045 9.016
angles: 104.29 104.29 25.49
Fractional coordinates of all 12 atoms:
La: 0.007 0.007 0.239
La: 0.327 0.327 0.432
La: 0.337 0.337 0.900
La: 0.663 0.663 0.100
La: 0.673 0.673 0.568
La: 0.993 0.993 0.761
Te: 0.166 0.166 0.833
Te: 0.500 0.500 0.500
Te: 0.834 0.834 0.167
As: 0.166 0.166 0.333
As: 0.834 0.834 0.667
Se: 0.500 0.500 0.000

***

No. 6
## La8Te3AsSe4 (PBE)

Data for crystalline La8Te3AsSe4 at its relaxed geometry.

Summary:
For the uncorrected formation energy, the calculation gives -1.8025 eV per atom. The calculation puts the volume at 30.629 A^3/atom. Its space group is R-3m (166).

abc: 8.853 8.853 8.853
angles: 59.94 59.94 59.94
Fractional coordinates of all 16 atoms:
La: 0.230 0.754 0.754
La: 0.241 0.241 0.241
La: 0.246 0.246 0.770
La: 0.246 0.770 0.246
La: 0.754 0.230 0.754
La: 0.754 0.754 0.230
La: 0.759 0.759 0.759
La: 0.770 0.246 0.246
Te: 0.000 0.500 0.500
Te: 0.500 0.000 0.500
Te: 0.500 0.500 0.000
As: 0.000 0.000 0.000
Se: 0.000 0.000 0.500
Se: 0.000 0.500 0.000
Se: 0.500 0.000 0.000
Se: 0.500 0.500 0.500

***

Question: The lowest volume belongs to which entry?
Answer: number 1